# 1
Entry from the Alexandria database: an optimized crystal structure of Fe2BiPd7 (PBE).

It has space group Cmmm (No. 65), with a = 7.280 Å, b = 12.411 Å, c = 4.386 Å, α = 90.00°, β = 90.00° and γ = 90.00°. The asymmetric unit holds Fe at (0.000, 0.197, 0.000), Bi at (0.000, 0.500, 0.500), Pd at (0.000, 0.000, 0.000), Pd at (0.000, 0.279, 0.500) and Pd at (0.188, 0.379, 0.000).

The energy of formation from the pure elements comes out at 0.33 eV/atom.

# 2
Entry from the Alexandria database: an optimized crystal structure of LaTc3Cl (PBE).

It has space group Pm-3m (No. 221), with a = 5.029 Å, b = 5.029 Å, c = 5.029 Å, α = 90.00°, β = 90.00° and γ = 90.00°. The asymmetric unit holds La at (0.000, 0.000, 0.000), Tc at (0.000, 0.000, 0.500) and Cl at (0.500, 0.500, 0.500).

The relative energy among the computed polymorphs comes out at 1542 meV/atom. The calculation puts the raw formation energy at 2.264 eV per atom.

# 3
Entry from the Alexandria database: an optimized crystal structure of Tl5SbSe (PBE).

It has space group P2_1/m (No. 11), with a = 8.224 Å, b = 4.641 Å, c = 12.551 Å, α = 90.00°, β = 93.16° and γ = 90.00°. The asymmetric unit holds Tl at (0.084, 0.250, 0.158), Tl at (0.155, 0.750, 0.597), Tl at (0.227, 0.250, 0.851), Tl at (0.325, 0.750, 0.055), Tl at (0.352, 0.250, 0.404), Sb at (0.491, 0.750, 0.820) and Se at (0.093, 0.750, 0.344).

The calculation puts the raw formation energy at -0.131 eV per atom.

# 4
Entry from the Alexandria database: an optimized crystal structure of ZrAlPt (PBE).

It has space group I4mm (No. 107), with a = 3.166 Å, b = 3.166 Å, c = 10.510 Å, α = 90.00°, β = 90.00° and γ = 90.00°. The asymmetric unit holds Zr at (0.000, 0.000, 0.000), Al at (0.000, 0.000, 0.689) and Pt at (0.000, 0.000, 0.320).

The energy of formation from the pure elements comes out at -0.83 eV/atom.

# 5
Entry from the Alexandria database: an optimized crystal structure of CaGaGe2Ru (PBE).

It has space group P4/mmm (No. 123), with a = 4.994 Å, b = 4.994 Å, c = 5.529 Å, α = 90.00°, β = 90.00° and γ = 90.00°. The asymmetric unit holds Ca at (0.000, 0.000, 0.000), Ga at (0.500, 0.500, 0.000), Ge at (0.000, 0.500, 0.500) and Ru at (0.000, 0.000, 0.500).

The energy of formation from the pure elements comes out at 0.10 eV/atom.

# 6
Entry from the Alexandria database: an optimized crystal structure of LiDy2Ga4Ir3 (PBE).

It has space group P-4m2 (No. 115), with a = 4.039 Å, b = 4.039 Å, c = 11.163 Å, α = 90.00°, β = 90.00° and γ = 90.00°. The asymmetric unit holds Li at (0.000, 0.000, 0.000), Dy at (0.000, 0.500, 0.739), Ga at (0.000, 0.000, 0.500), Ga at (0.000, 0.500, 0.133), Ga at (0.500, 0.500, 0.500), Ir at (0.000, 0.500, 0.358) and Ir at (0.500, 0.500, 0.000).

The energy of formation from the pure elements comes out at -0.65 eV/atom.

# 7
Entry from the Alexandria database: an optimized crystal structure of AlSn2SbSe (PBE).

It has space group P4/mmm (No. 123), with a = 5.612 Å, b = 5.612 Å, c = 4.894 Å, α = 90.00°, β = 90.00° and γ = 90.00°. The asymmetric unit holds Al at (0.000, 0.000, 0.000), Sn at (0.000, 0.500, 0.500), Sb at (0.500, 0.500, 0.000) and Se at (0.000, 0.000, 0.500).

The relative energy among the computed polymorphs comes out at 0 meV/atom. The calculation puts the raw formation energy at 0.359 eV per atom.

# 8
Entry from the Alexandria database: an optimized crystal structure of CaTaAg2 (PBE).

It has space group P4/mmm (No. 123), with a = 3.073 Å, b = 3.073 Å, c = 8.614 Å, α = 90.00°, β = 90.00° and γ = 90.00°. The asymmetric unit holds Ca at (0.000, 0.000, 0.000), Ta at (0.000, 0.000, 0.500) and Ag at (0.500, 0.500, 0.272).

The energy of formation from the pure elements comes out at 0.26 eV/atom. The relative energy among the computed polymorphs comes out at 0 meV/atom.

The records above give, respectively, Fermi-level density of states values of 12.717 6.980 1.867 5.371 5.770 5.383 1.639 3.150 states/eV/cell.
The records above give, respectively, calculated volume values of 19.813 25.430 34.163 17.554 27.577 18.211 30.826 20.340 A^3/atom.
The records above give, respectively, total energy values of -0.1978 -0.1952 -0.1069 -0.2549 -0.1694 -0.2068 -0.1291 -0.1700 Ha/atom.